Ce4Ga2Cl5: relaxed, PBE.

a b c (Å): 11.9602 11.9602 8.1247
angles (deg): 103.23 103.23 19.51
With the nearest neighbours (Å) after each atom.
Sites, in units of the cell vectors:
1 Ce 0.0076 0.0076 0.2639  3 Cl 2.92-2.93, 4 Ga 3.08-3.10
2 Ce 0.3330 0.3330 0.5348  5 Cl 2.85-2.96, 1 Ga 2.89
3 Ce 0.6670 0.6670 0.4652  5 Cl 2.85-2.96, 1 Ga 2.89
4 Ce 0.9924 0.9924 0.7361  3 Cl 2.92-2.93, 4 Ga 3.08-3.10
5 Ga 0.4455 0.4455 0.4507  1 Ga 2.51
6 Ga 0.5545 0.5545 0.5493  1 Ga 2.51
7 Cl 0.1275 0.1275 0.2194  3 Ce 2.85-2.93
8 Cl 0.2296 0.2296 0.6830  3 Ce 2.86-2.96
9 Cl 0.5000 0.5000 0.0000  4 Ce 2.92
10 Cl 0.7704 0.7704 0.3170  3 Ce 2.86-2.96
11 Cl 0.8725 0.8725 0.7806  3 Ce 2.85-2.93

- Magnetic moment: 4.15 μB per formula unit
- Formation energy from raw total energies: -14.85 eV/f.u.
- Density: 3.9 Mg/m³

***

La6PSe2Br3: relaxed, PBE.

a b c (Å): 7.4618 7.4618 7.5504
angles (deg): 99.39 99.39 119.46
With the nearest neighbours (Å) after each atom.
Sites, in units of the cell vectors:
1 La 0.0711 0.3903 0.2182  1 P 2.85, 2 Se 3.00-3.01, 2 Br 3.16-3.17
2 La 0.2398 0.2398 0.7723  1 P 2.87, 2 Se 3.01, 2 Br 3.18
3 La 0.3903 0.0711 0.2182  1 P 2.85, 2 Se 3.00-3.01, 2 Br 3.16-3.17
4 La 0.6097 0.9289 0.7818  1 P 2.85, 2 Se 3.00-3.01, 2 Br 3.16-3.17
5 La 0.7602 0.7602 0.2277  1 P 2.87, 2 Se 3.01, 2 Br 3.18
6 La 0.9289 0.6097 0.7818  1 P 2.85, 2 Se 3.00-3.01, 2 Br 3.16-3.17
7 P 0.0000 0.0000 0.0000  6 La 2.85-2.87
8 Se 0.3358 0.6642 0.0000  6 La 3.00-3.01
9 Se 0.6642 0.3358 0.0000  6 La 3.00-3.01
10 Br 0.1740 0.8260 0.5000  6 La 3.16-3.23
11 Br 0.5000 0.5000 0.5000  6 La 3.17-3.27
12 Br 0.8260 0.1740 0.5000  6 La 3.16-3.23

- Magnetic moment: 0.00 μB per formula unit
- Formation energy from raw total energies: -19.62 eV/f.u.
- Density: 6.1 Mg/m³

***

LaYLuPu: relaxed, PBE.

a b c (Å): 8.0003 8.0003 8.0003
angles (deg): 90.00 90.00 90.00
With the nearest neighbours (Å) after each atom.
Sites, in units of the cell vectors:
1 La 0.0000 0.0000 0.0000  4 Lu 3.46, 4 Y 3.46
2 La 0.0000 0.5000 0.5000  4 Lu 3.46, 4 Y 3.46
3 La 0.5000 0.0000 0.5000  4 Lu 3.46, 4 Y 3.46
4 La 0.5000 0.5000 0.0000  4 Lu 3.46, 4 Y 3.46
5 Y 0.2500 0.2500 0.2500  4 La 3.46, 4 Pu 3.46
6 Y 0.2500 0.7500 0.7500  4 La 3.46, 4 Pu 3.46
7 Y 0.7500 0.2500 0.7500  4 La 3.46, 4 Pu 3.46
8 Y 0.7500 0.7500 0.2500  4 La 3.46, 4 Pu 3.46
9 Lu 0.2500 0.2500 0.7500  4 La 3.46, 4 Pu 3.46
10 Lu 0.2500 0.7500 0.2500  4 La 3.46, 4 Pu 3.46
11 Lu 0.7500 0.2500 0.2500  4 La 3.46, 4 Pu 3.46
12 Lu 0.7500 0.7500 0.7500  4 La 3.46, 4 Pu 3.46
13 Pu 0.0000 0.0000 0.5000  4 Y 3.46, 4 Lu 3.46
14 Pu 0.0000 0.5000 0.0000  4 Y 3.46, 4 Lu 3.46
15 Pu 0.5000 0.0000 0.0000  4 Y 3.46, 4 Lu 3.46
16 Pu 0.5000 0.5000 0.5000  4 Y 3.46, 4 Lu 3.46

- Energy relative to the elements: 0.843 eV/f.u.
- Magnetic moment: 6.05 μB per formula unit
- Density: 8.4 Mg/m³

***

TlGa2IrPb: relaxed, PBE.

a b c (Å): 4.8398 4.8398 5.5591
angles (deg): 90.00 90.00 90.00
With the nearest neighbours (Å) after each atom.
Sites, in units of the cell vectors:
1 Tl 0.0000 0.0000 0.0000  4 Pb 3.42, 8 Ga 3.69
2 Ga 0.0000 0.5000 0.5000  2 Ir 2.42
3 Ga 0.5000 0.0000 0.5000  2 Ir 2.42
4 Ir 0.5000 0.5000 0.5000  4 Ga 2.42
5 Pb 0.5000 0.5000 0.0000  2 Ir 2.78

- Energy relative to the elements: -0.099 eV/f.u.
- Magnetic moment: 0.00 μB per formula unit
- Density: 9.5 Mg/m³